(1)
This record from Alexandria describes an optimized crystal structure of Pm3NdPd. The functional is PBE.

Values from the calculation:
Energy relative to the elements (eV/atom): -0.09
Calculated density (g/cm3): 6.4

Cell and atoms, written as CIF:
```
data_Pm3NdPd
_chemical_formula_sum 'Pm3 Nd1 Pd1'
_cell_length_a 5.625
_cell_length_b 5.625
_cell_length_c 5.625
_cell_angle_alpha 90.00
_cell_angle_beta 90.00
_cell_angle_gamma 90.00
_symmetry_space_group_name_H-M 'P m -3 m'
_symmetry_Int_Tables_number 221
_symmetry_space_group_name_Hall '-P 4 2 3'
loop_
_atom_site_label
_atom_site_type_symbol
_atom_site_fract_x
_atom_site_fract_y
_atom_site_fract_z
_atom_site_occupancy
Pm1 Pm 0.000 0.000 0.500 1
Nd1 Nd 0.500 0.500 0.500 1
Pd1 Pd 0.000 0.000 0.000 1
```

(2)
This record from Alexandria describes an optimized crystal structure of Pm2NdPd. The functional is PBE.

Values from the calculation:
Energy relative to the elements (eV/atom): -0.42
Calculated density (g/cm3): 7.5

Cell and atoms, written as CIF:
```
data_Pm2NdPd
_chemical_formula_sum 'Pm8 Nd4 Pd4'
_cell_length_a 7.234
_cell_length_b 10.064
_cell_length_c 6.610
_cell_angle_alpha 90.00
_cell_angle_beta 90.00
_cell_angle_gamma 90.00
_symmetry_space_group_name_H-M 'P n m a'
_symmetry_Int_Tables_number 62
loop_
_symmetry_equiv_pos_as_xyz
'x,y,z'
'-x,-y,-z'
'-x+1/2,-y,z+1/2'
'x+1/2,y,-z+1/2'
'x+1/2,-y+1/2,-z+1/2'
'-x+1/2,y+1/2,z+1/2'
'-x,y+1/2,-z'
'x,-y+1/2,z'
loop_
_atom_site_label
_atom_site_type_symbol
_atom_site_fract_x
_atom_site_fract_y
_atom_site_fract_z
_atom_site_occupancy
Pm1 Pm 0.180 0.060 0.169 1
Nd1 Nd 0.024 0.250 0.640 1
Pd1 Pd 0.115 0.750 0.926 1
```

(3)
This record from Alexandria describes an optimized crystal structure of Pm5NdPd4. The functional is PBE.

Values from the calculation:
Energy relative to the elements (eV/atom): -0.60
Calculated density (g/cm3): 8.4

Cell and atoms, written as CIF:
```
data_Pm5NdPd4
_chemical_formula_sum 'Pm5 Nd1 Pd4'
_cell_length_a 3.607
_cell_length_b 3.607
_cell_length_c 19.754
_cell_angle_alpha 90.00
_cell_angle_beta 90.00
_cell_angle_gamma 90.00
_symmetry_space_group_name_H-M 'P 4/m m m'
_symmetry_Int_Tables_number 123
_symmetry_space_group_name_Hall '-P 4 2'
loop_
_atom_site_label
_atom_site_type_symbol
_atom_site_fract_x
_atom_site_fract_y
_atom_site_fract_z
_atom_site_occupancy
Pm1 Pm 0.000 0.000 0.000 1
Pm2 Pm 0.000 0.000 0.183 1
Pm3 Pm 0.000 0.000 0.362 1
Nd1 Nd 0.500 0.500 0.500 1
Pd1 Pd 0.500 0.500 0.092 1
Pd2 Pd 0.500 0.500 0.273 1
```

(4)
This record from Alexandria describes an optimized crystal structure of Pm3Nd3Pd4. The functional is PBE.

Values from the calculation:
Energy relative to the elements (eV/atom): -0.64
Calculated density (g/cm3): 8.3

Cell and atoms, written as CIF:
```
data_Pm3Nd3Pd4
_chemical_formula_sum 'Pm6 Nd6 Pd8'
_cell_length_a 3.989
_cell_length_b 11.396
_cell_length_c 11.443
_cell_angle_alpha 90.00
_cell_angle_beta 90.00
_cell_angle_gamma 90.00
_symmetry_space_group_name_H-M 'A m m 2'
_symmetry_Int_Tables_number 38
loop_
_symmetry_equiv_pos_as_xyz
'x,y,z'
'-x,-y,z'
'-x,y,z'
'x,-y,z'
'x,y+1/2,z+1/2'
'-x,-y+1/2,z+1/2'
'-x,y+1/2,z+1/2'
'x,-y+1/2,z+1/2'
loop_
_atom_site_label
_atom_site_type_symbol
_atom_site_fract_x
_atom_site_fract_y
_atom_site_fract_z
_atom_site_occupancy
Pm1 Pm 0.000 0.000 0.000 1
Pm2 Pm 0.000 0.167 0.668 1
Nd1 Nd 0.000 0.000 0.334 1
Nd2 Nd 0.500 0.250 0.418 1
Pd1 Pd 0.500 0.000 0.542 1
Pd2 Pd 0.500 0.000 0.795 1
Pd3 Pd 0.500 0.127 0.166 1
```

(5)
This record from Alexandria describes an optimized crystal structure of Pm2NdPd. The functional is PBE.

Values from the calculation:
Energy relative to the elements (eV/atom): 0.09
Calculated density (g/cm3): 7.4

Cell and atoms, written as CIF:
```
data_Pm2NdPd
_chemical_formula_sum 'Pm6 Nd3 Pd3'
_cell_length_a 3.5072
_cell_length_b 3.5072
_cell_length_c 34.0871
_cell_angle_alpha 90.00
_cell_angle_beta 90.00
_cell_angle_gamma 120.00
_symmetry_space_group_name_H-M 'R -3 m'
_symmetry_Int_Tables_number 166
_symmetry_space_group_name_Hall '-R 3 2"'
loop_
_atom_site_label
_atom_site_type_symbol
_atom_site_fract_x
_atom_site_fract_y
_atom_site_fract_z
_atom_site_occupancy
Pm1 Pm 0.0000 0.0000 0.0783 1
Nd1 Nd 0.0000 0.0000 0.5000 1
Pd1 Pd 0.0000 0.0000 0.0000 1
```

(6)
This record from Alexandria describes an optimized crystal structure of PmNdPd3. The functional is PBE.

Values from the calculation:
Energy relative to the elements (eV/atom): -0.76
Calculated density (g/cm3): 8.7

Cell and atoms, written as CIF:
```
data_PmNdPd3
_chemical_formula_sum 'Pm4 Nd4 Pd12'
_cell_length_a 3.867
_cell_length_b 27.270
_cell_length_c 4.386
_cell_angle_alpha 90.00
_cell_angle_beta 90.00
_cell_angle_gamma 90.00
_symmetry_space_group_name_H-M 'C m c m'
_symmetry_Int_Tables_number 63
_symmetry_space_group_name_Hall '-C 2c 2'
loop_
_atom_site_label
_atom_site_type_symbol
_atom_site_fract_x
_atom_site_fract_y
_atom_site_fract_z
_atom_site_occupancy
Pm1 Pm 0.000 0.204 0.250 1
Nd1 Nd 0.000 0.071 0.750 1
Pd1 Pd 0.000 0.316 0.250 1
Pd2 Pd 0.000 0.377 0.750 1
Pd3 Pd 0.000 0.473 0.750 1
```

(7)
This record from Alexandria describes an optimized crystal structure of Pm2NdPd4. The functional is PBE.

Values from the calculation:
Energy relative to the elements (eV/atom): -0.11
Calculated density (g/cm3): 7.2

Cell and atoms, written as CIF:
```
data_Pm2NdPd4
_chemical_formula_sum 'Pm4 Nd2 Pd8'
_cell_length_a 5.177
_cell_length_b 5.177
_cell_length_c 14.884
_cell_angle_alpha 90.00
_cell_angle_beta 90.00
_cell_angle_gamma 90.00
_symmetry_space_group_name_H-M 'I 4/m m m'
_symmetry_Int_Tables_number 139
_symmetry_space_group_name_Hall '-I 4 2'
loop_
_atom_site_label
_atom_site_type_symbol
_atom_site_fract_x
_atom_site_fract_y
_atom_site_fract_z
_atom_site_occupancy
Pm1 Pm 0.000 0.000 0.133 1
Nd1 Nd 0.000 0.000 0.500 1
Pd1 Pd 0.000 0.000 0.313 1
Pd2 Pd 0.000 0.500 0.000 1
```

(8)
This record from Alexandria describes an optimized crystal structure of PmNdPd3. The functional is PBE.

Values from the calculation:
Energy relative to the elements (eV/atom): -0.78
Calculated density (g/cm3): 9.0

Cell and atoms, written as CIF:
```
data_PmNdPd3
_chemical_formula_sum 'Pm4 Nd4 Pd12'
_cell_length_a 6.989
_cell_length_b 7.989
_cell_length_c 8.019
_cell_angle_alpha 90.00
_cell_angle_beta 90.00
_cell_angle_gamma 90.00
_symmetry_space_group_name_H-M 'P n n m'
_symmetry_Int_Tables_number 58
loop_
_symmetry_equiv_pos_as_xyz
'x,y,z'
'-x,-y,-z'
'-x,-y,z'
'x,y,-z'
'x+1/2,-y+1/2,-z+1/2'
'-x+1/2,y+1/2,z+1/2'
'-x+1/2,y+1/2,-z+1/2'
'x+1/2,-y+1/2,z+1/2'
loop_
_atom_site_label
_atom_site_type_symbol
_atom_site_fract_x
_atom_site_fract_y
_atom_site_fract_z
_atom_site_occupancy
Pm1 Pm 0.217 0.136 0.000 1
Nd1 Nd 0.218 0.136 0.500 1
Pd1 Pd 0.000 0.500 0.253 1
Pd2 Pd 0.116 0.856 0.250 1
```